(1)
# TbPmSm6

A relaxed structure of TbPmSm6 (GGA-PBE, Alexandria via LeMat-Bulk).

Output
The formation energy from the elements comes out at 1.7 kJ per mole of atoms. The calculation puts the density of states at the Fermi level at 13.23 states/eV per cell. The calculation puts the relative energy among the computed polymorphs at 2 kJ/mol of formula units. As for the space group: P4/mmm, No. 123.

Cell and atoms, written as POSCAR:
```
TbPmSm6
1.0
5.119 0.000 0.000
0.000 5.119 0.000
0.000 0.000 10.239
Sm Pm Tb
6 1 1
direct
0.500 0.500 0.500
0.500 0.000 0.251
0.000 0.500 0.251
0.000 0.500 0.749
0.500 0.000 0.749
0.500 0.500 0.000
0.000 0.000 0.000
0.000 0.000 0.500
```


(2)
# Tb4PmSm3

A relaxed structure of Tb4PmSm3 (GGA-PBE, Alexandria via LeMat-Bulk).

Output
The formation energy from the elements comes out at 2.3 kJ per mole of atoms. The calculation puts the density of states at the Fermi level at 28.24 states/eV per cell. The calculation puts the relative energy among the computed polymorphs at 7 kJ/mol of formula units. As for the space group: Pmn2_1, No. 31.

Cell and atoms, written as POSCAR:
```
Tb4PmSm3
1.0
6.322 0.000 0.000
0.000 7.318 0.000
0.000 0.000 11.531
Pm Sm Tb
2 6 8
direct
0.148 0.373 0.000
0.648 0.627 0.500
0.481 0.373 0.750
0.147 0.374 0.500
0.981 0.627 0.250
0.981 0.627 0.750
0.481 0.373 0.250
0.647 0.626 0.000
0.481 0.877 0.750
0.481 0.877 0.250
0.981 0.123 0.750
0.148 0.877 0.000
0.648 0.123 0.500
0.648 0.123 0.000
0.981 0.123 0.250
0.148 0.877 0.500
```


(3)
# Tb4Pm15Sm

A relaxed structure of Tb4Pm15Sm (GGA-PBE, Alexandria via LeMat-Bulk).

Output
The formation energy from the elements comes out at 1.4 kJ per mole of atoms. The calculation puts the density of states at the Fermi level at 28.10 states/eV per cell. As for the space group: P4/mmm, No. 123.

Cell and atoms, written as POSCAR:
```
Tb4Pm15Sm
1.0
5.139 0.000 0.000
0.000 5.139 0.000
0.000 0.000 25.637
Pm Tb Sm
15 4 1
direct
0.000 0.500 0.300
0.000 0.500 0.700
0.500 0.000 0.300
0.000 0.500 0.101
0.000 0.500 0.899
0.500 0.000 0.899
0.500 0.500 0.799
0.500 0.000 0.101
0.500 0.500 0.000
0.500 0.500 0.201
0.500 0.500 0.600
0.000 0.500 0.500
0.500 0.000 0.500
0.500 0.500 0.400
0.500 0.000 0.700
0.000 0.000 0.600
0.000 0.000 0.800
0.000 0.000 0.400
0.000 0.000 0.200
0.000 0.000 0.000
```


(4)
# Tb2Pm3Sm2

A relaxed structure of Tb2Pm3Sm2 (GGA-PBE, Alexandria via LeMat-Bulk).

Output
The formation energy from the elements comes out at 10.7 kJ per mole of atoms. The calculation puts the density of states at the Fermi level at 10.47 states/eV per cell. The calculation puts the relative energy among the computed polymorphs at 65 kJ/mol of formula units. As for the space group: C2/m, No. 12.

Cell and atoms, written as POSCAR:
```
Tb2Pm3Sm2
1.0
3.538 0.000 0.000
0.000 8.633 -0.731
-1.769 -3.625 8.070
Tb Pm Sm
2 3 2
direct
0.147 0.330 0.294
0.853 0.670 0.706
0.787 0.201 0.575
0.000 0.500 0.000
0.213 0.799 0.425
0.435 0.090 0.870
0.565 0.910 0.130
```


(5)
# Tb12Pm3Sm

A relaxed structure of Tb12Pm3Sm (GGA-PBE, Alexandria via LeMat-Bulk).

Output
The formation energy from the elements comes out at 1.6 kJ per mole of atoms. The calculation puts the density of states at the Fermi level at 22.06 states/eV per cell. As for the space group: P4/mmm, No. 123.

Cell and atoms, written as POSCAR:
```
Tb12Pm3Sm
1.0
-1.251 2.041 -4.464
-4.815 -1.405 0.707
-3.811 17.665 9.144
Tb Pm Sm
12 3 1
direct
0.000 0.500 0.625
0.500 0.000 0.375
0.500 0.500 0.750
0.000 0.500 0.375
0.000 0.500 0.875
0.500 0.500 0.250
0.500 0.500 0.500
0.000 0.500 0.125
0.500 0.500 0.000
0.500 0.000 0.875
0.500 0.000 0.125
0.500 0.000 0.625
0.000 0.000 0.750
0.000 0.000 0.500
0.000 0.000 0.250
0.000 0.000 0.000
```


(6)
# Tb2Pm7Sm

A relaxed structure of Tb2Pm7Sm (GGA-PBE, Alexandria via LeMat-Bulk).

Output
The formation energy from the elements comes out at 62.5 kJ per mole of atoms. The calculation puts the density of states at the Fermi level at 15.07 states/eV per cell. The calculation puts the relative energy among the computed polymorphs at 253 kJ/mol of formula units. As for the space group: Cmmm, No. 65.

Cell and atoms, written as POSCAR:
```
Tb2Pm7Sm
1.0
-4.685 3.191 -0.262
-4.917 -6.905 3.813
4.213 6.596 5.014
Pm Tb Sm
7 2 1
direct
0.500 0.500 0.500
0.500 0.064 0.293
0.000 0.778 0.222
0.500 0.936 0.707
0.000 0.222 0.778
0.500 0.707 0.936
0.500 0.293 0.064
0.500 0.704 0.296
0.500 0.296 0.704
0.000 0.000 0.000
```


(7)
# Tb5PmSm4

A relaxed structure of Tb5PmSm4 (GGA-PBE, Alexandria via LeMat-Bulk).

Output
The formation energy from the elements comes out at 1.4 kJ per mole of atoms. The calculation puts the density of states at the Fermi level at 12.79 states/eV per cell. The calculation puts the relative energy among the computed polymorphs at 0 kJ/mol of formula units. As for the space group: P-1, No. 2.

Cell and atoms, written as POSCAR:
```
Tb5PmSm4
1.0
3.526 -0.021 -0.706
-0.369 9.980 -2.019
0.083 -0.683 9.475
Sm Pm Tb
4 1 5
direct
0.900 0.698 0.800
0.100 0.302 0.200
0.700 0.100 0.400
0.300 0.900 0.600
0.500 0.000 0.000
0.100 0.798 0.201
0.700 0.600 0.400
0.900 0.202 0.799
0.500 0.500 0.000
0.300 0.400 0.600
```


(8)
# Tb2Pm3Sm2

A relaxed structure of Tb2Pm3Sm2 (GGA-PBE, Alexandria via LeMat-Bulk).

Output
The formation energy from the elements comes out at 1.4 kJ per mole of atoms. The calculation puts the density of states at the Fermi level at 9.22 states/eV per cell. The calculation puts the relative energy among the computed polymorphs at 0 kJ/mol of formula units. As for the space group: C2/m, No. 12.

Cell and atoms, written as POSCAR:
```
Tb2Pm3Sm2
1.0
3.557 -0.458 0.483
-0.596 11.821 2.008
1.183 1.240 6.025
Tb Pm Sm
2 3 2
direct
0.286 0.714 0.143
0.714 0.286 0.857
0.572 0.429 0.286
0.428 0.571 0.714
0.000 0.000 0.000
0.142 0.857 0.572
0.858 0.143 0.428
```


(9)
# Tb2PmSm

A relaxed structure of Tb2PmSm (GGA-PBE, Alexandria via LeMat-Bulk).

Output
The formation energy from the elements comes out at 1.7 kJ per mole of atoms. The calculation puts the density of states at the Fermi level at 6.31 states/eV per cell. The calculation puts the relative energy among the computed polymorphs at 2 kJ/mol of formula units. As for the space group: P4/mmm, No. 123.

Cell and atoms, written as POSCAR:
```
Tb2PmSm
1.0
-1.440 1.162 4.727
4.372 -1.900 1.799
2.181 4.581 -0.461
Pm Tb Sm
1 2 1
direct
0.500 0.500 0.500
0.000 0.500 0.000
0.000 0.000 0.500
0.500 0.000 0.000
```


(10)
# Tb2Pm3Sm

A relaxed structure of Tb2Pm3Sm (GGA-PBE, Alexandria via LeMat-Bulk).

Output
The formation energy from the elements comes out at 0.2 kJ per mole of atoms. The calculation puts the density of states at the Fermi level at 14.71 states/eV per cell. The calculation puts the relative energy among the computed polymorphs at 0 kJ/mol of formula units. As for the space group: P-1, No. 2.

Cell and atoms, written as POSCAR:
```
Tb2Pm3Sm
1.0
-0.376 -2.067 -6.977
6.093 -4.876 6.802
-5.014 -2.316 4.759
Pm Tb Sm
6 4 2
direct
0.747 0.998 0.249
0.195 0.334 0.639
0.195 0.334 0.139
0.253 0.002 0.751
0.805 0.666 0.361
0.805 0.666 0.861
0.304 0.667 0.360
0.696 0.333 0.640
0.304 0.666 0.860
0.696 0.334 0.140
0.253 0.002 0.251
0.747 0.998 0.749
```


(11)
# Tb3Pm4Sm4

A relaxed structure of Tb3Pm4Sm4 (GGA-PBE, Alexandria via LeMat-Bulk).

Output
The formation energy from the elements comes out at 12.4 kJ per mole of atoms. The calculation puts the density of states at the Fermi level at 17.05 states/eV per cell. The calculation puts the relative energy among the computed polymorphs at 0 kJ/mol of formula units. As for the space group: Immm, No. 71.

Cell and atoms, written as POSCAR:
```
Tb3Pm4Sm4
1.0
3.584 0.000 -0.660
-0.856 8.256 -4.647
0.354 1.300 11.979
Pm Tb Sm
4 3 4
direct
0.260 0.760 0.520
0.500 0.815 0.000
0.500 0.185 0.000
0.740 0.240 0.480
0.000 0.500 0.000
0.108 0.108 0.216
0.892 0.892 0.784
0.357 0.533 0.713
0.357 0.181 0.713
0.643 0.467 0.287
0.643 0.819 0.287
```


(12)
# TbPm2Sm

A relaxed structure of TbPm2Sm (GGA-PBE, Alexandria via LeMat-Bulk).

Output
The formation energy from the elements comes out at 1.2 kJ per mole of atoms. The calculation puts the density of states at the Fermi level at 5.14 states/eV per cell. The calculation puts the relative energy among the computed polymorphs at 0 kJ/mol of formula units. As for the space group: R-3m, No. 166.

Cell and atoms, written as POSCAR:
```
TbPm2Sm
1.0
3.623 0.000 0.000
1.811 3.137 0.000
1.811 1.046 11.811
Tb Pm Sm
1 2 1
direct
0.500 0.500 0.500
0.249 0.249 0.252
0.751 0.751 0.748
0.000 0.000 0.000
```


(13)
# Tb6PmSm6

A relaxed structure of Tb6PmSm6 (GGA-PBE, Alexandria via LeMat-Bulk).

Output
The formation energy from the elements comes out at 21.2 kJ per mole of atoms. The calculation puts the density of states at the Fermi level at 20.62 states/eV per cell. As for the space group: P2/m, No. 10.

Cell and atoms, written as POSCAR:
```
Tb6PmSm6
1.0
-4.020 5.126 -1.164
-0.001 -5.808 -4.022
-7.816 -4.615 6.666
Tb Sm Pm
6 6 1
direct
0.000 0.500 0.700
0.500 0.500 0.784
0.000 0.500 0.300
0.500 0.000 0.766
0.500 0.500 0.216
0.500 0.000 0.234
0.000 0.000 0.336
0.000 0.000 0.664
0.540 0.276 0.500
0.716 0.326 0.000
0.284 0.674 0.000
0.460 0.724 0.500
0.000 0.000 0.000
```


(14)
# TbPm3Sm4

A relaxed structure of TbPm3Sm4 (GGA-PBE, Alexandria via LeMat-Bulk).

Output
The formation energy from the elements comes out at 15.0 kJ per mole of atoms. The calculation puts the density of states at the Fermi level at 13.64 states/eV per cell. The calculation puts the relative energy among the computed polymorphs at 97 kJ/mol of formula units. As for the space group: C2/m, No. 12.

Cell and atoms, written as POSCAR:
```
TbPm3Sm4
1.0
-2.308 1.436 -2.213
4.741 -0.081 -4.997
-4.666 -11.011 0.497
Pm Sm Tb
3 4 1
direct
0.000 0.500 0.000
0.875 0.116 0.751
0.125 0.884 0.249
0.741 0.243 0.482
0.124 0.366 0.248
0.876 0.634 0.752
0.259 0.757 0.518
0.500 0.000 0.000
```


(15)
# TbPm2Sm4

A relaxed structure of TbPm2Sm4 (GGA-PBE, Alexandria via LeMat-Bulk).

Output
The formation energy from the elements comes out at 1.3 kJ per mole of atoms. The calculation puts the density of states at the Fermi level at 9.26 states/eV per cell. The calculation puts the relative energy among the computed polymorphs at 2 kJ/mol of formula units. As for the space group: P-1, No. 2.

Cell and atoms, written as POSCAR:
```
TbPm2Sm4
1.0
3.534 0.300 0.725
-1.812 7.233 -3.215
1.759 0.071 9.418
Pm Sm Tb
2 4 1
direct
0.572 0.427 0.142
0.428 0.573 0.858
0.286 0.715 0.571
0.144 0.858 0.285
0.714 0.285 0.429
0.856 0.142 0.715
0.000 0.000 0.000
```


(16)
# Tb2Pm9Sm

A relaxed structure of Tb2Pm9Sm (GGA-PBE, Alexandria via LeMat-Bulk).

Output
The formation energy from the elements comes out at 1.6 kJ per mole of atoms. The calculation puts the density of states at the Fermi level at 19.69 states/eV per cell. As for the space group: P4/mmm, No. 123.

Cell and atoms, written as POSCAR:
```
Tb2Pm9Sm
1.0
-4.364 -0.126 -2.704
-2.507 -1.745 4.128
-3.060 14.483 4.266
Pm Tb Sm
9 2 1
direct
0.500 0.000 0.500
0.000 0.500 0.168
0.500 0.500 0.666
0.500 0.500 0.334
0.500 0.000 0.832
0.500 0.500 0.000
0.000 0.500 0.832
0.000 0.500 0.500
0.500 0.000 0.168
0.000 0.000 0.334
0.000 0.000 0.666
0.000 0.000 0.000
```


(17)
# TbPmSm

A relaxed structure of TbPmSm (GGA-PBE, Alexandria via LeMat-Bulk).

Output
The formation energy from the elements comes out at 6.0 kJ per mole of atoms. The calculation puts the density of states at the Fermi level at 4.69 states/eV per cell. The calculation puts the relative energy among the computed polymorphs at 14 kJ/mol of formula units. As for the space group: P-6m2, No. 187.

Cell and atoms, written as POSCAR:
```
TbPmSm
1.0
-2.695 1.606 1.599
0.294 -3.771 4.284
3.028 4.841 0.241
Pm Tb Sm
1 1 1
direct
0.166 0.000 0.000
0.167 0.333 0.667
0.667 0.667 0.333
```


(18)
# Tb2PmSm

A relaxed structure of Tb2PmSm (GGA-PBE, Alexandria via LeMat-Bulk).

Output
The formation energy from the elements comes out at 1.2 kJ per mole of atoms. The calculation puts the density of states at the Fermi level at 5.66 states/eV per cell. The calculation puts the relative energy among the computed polymorphs at 0 kJ/mol of formula units. As for the space group: R3m, No. 160.

Cell and atoms, written as POSCAR:
```
Tb2PmSm
1.0
3.617 0.000 0.000
1.808 3.132 0.000
1.808 1.044 11.670
Tb Pm Sm
2 1 1
direct
0.250 0.250 0.249
0.083 0.083 0.752
0.500 0.500 0.499
0.667 0.667 0.000
```


(19)
# TbPm5Sm

A relaxed structure of TbPm5Sm (GGA-PBE, Alexandria via LeMat-Bulk).

Output
The formation energy from the elements comes out at 95.4 kJ per mole of atoms. The calculation puts the density of states at the Fermi level at 12.74 states/eV per cell. As for the space group: Immm, No. 71.

Cell and atoms, written as POSCAR:
```
TbPm5Sm
1.0
-4.521 2.877 2.424
0.293 -0.266 7.999
2.355 6.873 3.371
Pm Tb Sm
5 1 1
direct
0.500 0.822 0.178
0.748 0.252 0.252
0.500 0.178 0.822
0.252 0.748 0.748
0.000 0.500 0.500
0.000 0.000 0.000
0.500 0.500 0.500
```


(20)
# Tb7Pm12Sm

A relaxed structure of Tb7Pm12Sm (GGA-PBE, Alexandria via LeMat-Bulk).

Output
The formation energy from the elements comes out at 24.1 kJ per mole of atoms. The calculation puts the density of states at the Fermi level at 27.96 states/eV per cell. The calculation puts the relative energy among the computed polymorphs at 184 kJ/mol of formula units. As for the space group: R-3, No. 148.

Cell and atoms, written as POSCAR:
```
Tb7Pm12Sm
1.0
6.079 0.000 -1.251
-3.170 9.825 -5.139
0.261 0.000 11.530
Pm Tb Sm
12 7 1
direct
0.087 0.587 0.175
0.585 0.000 0.645
0.500 0.412 0.587
0.060 0.645 0.645
0.087 0.175 0.588
0.913 0.413 0.825
0.500 0.588 0.413
0.415 0.355 0.000
0.913 0.825 0.412
0.415 0.000 0.355
0.585 0.645 0.000
0.940 0.355 0.355
0.127 0.999 0.753
0.872 0.246 0.999
0.873 0.001 0.247
0.128 0.754 0.001
0.500 0.000 0.000
0.374 0.247 0.246
0.626 0.753 0.754
0.000 0.000 0.000
```